# 1
Entry from the Alexandria database: a relaxed ZnBrO3 crystal (PBE).

## Properties
raw formation energy = 450 meV per atom

Structure (CIF):
```
data_ZnBrO3
_cell_length_a 3.855
_cell_length_b 3.855
_cell_length_c 3.855
_cell_angle_alpha 90.00
_cell_angle_beta 90.00
_cell_angle_gamma 90.00
_space_group_name_H-M_alt 'P m -3 m'
_space_group_IT_number 221
_space_group_name_Hall '-P 4 2 3'
loop_
_atom_site_label
_atom_site_type_symbol
_atom_site_fract_x
_atom_site_fract_y
_atom_site_fract_z
Zn1 Zn 0.000 0.000 0.000
Br1 Br 0.500 0.500 0.500
O1 O 0.000 0.000 0.500
```

***

# 2
Entry from the Alexandria database: a relaxed K5Na5Cd2 crystal (PBE).

## Properties
E = -1.16 eV/atom

Structure (CIF):
```
data_K5Na5Cd2
_cell_length_a 19.416
_cell_length_b 5.914
_cell_length_c 12.308
_cell_angle_alpha 90.00
_cell_angle_beta 128.98
_cell_angle_gamma 90.00
_space_group_name_H-M_alt 'C 1 2/m 1'
_space_group_IT_number 12
_space_group_name_Hall '-C 2y'
loop_
_atom_site_label
_atom_site_type_symbol
_atom_site_fract_x
_atom_site_fract_y
_atom_site_fract_z
K1 K 0.000 0.000 0.000
K2 K 0.137 0.000 0.842
K3 K 0.170 0.000 0.511
Na1 Na 0.000 0.500 0.500
Na2 Na 0.048 0.500 0.234
Na3 Na 0.249 0.000 0.239
Cd1 Cd 0.149 0.500 0.086
```

***

# 3
Entry from the Alexandria database: a relaxed Ga3OsO crystal (PBE).

## Properties
raw formation energy = 111 meV per atom
polymorph energy (0 for the lowest one) = 0 meV/atom

Structure (CIF):
```
data_Ga3OsO
_cell_length_a 4.139
_cell_length_b 4.139
_cell_length_c 4.139
_cell_angle_alpha 90.00
_cell_angle_beta 90.00
_cell_angle_gamma 90.00
_space_group_name_H-M_alt 'P m -3 m'
_space_group_IT_number 221
_space_group_name_Hall '-P 4 2 3'
loop_
_atom_site_label
_atom_site_type_symbol
_atom_site_fract_x
_atom_site_fract_y
_atom_site_fract_z
Ga1 Ga 0.000 0.000 0.500
Os1 Os 0.500 0.500 0.500
O1 O 0.000 0.000 0.000
```

***

# 4
Entry from the Alexandria database: a relaxed KYMo2 crystal (PBE).

## Properties
polymorph energy (0 for the lowest one) = 0 meV/atom

Structure (CIF):
```
data_KYMo2
_cell_length_a 3.301
_cell_length_b 3.301
_cell_length_c 9.957
_cell_angle_alpha 90.00
_cell_angle_beta 90.18
_cell_angle_gamma 90.00
_space_group_name_H-M_alt 'P 1 m 1'
_space_group_IT_number 6
_space_group_name_Hall 'P -2y'
loop_
_atom_site_label
_atom_site_type_symbol
_atom_site_fract_x
_atom_site_fract_y
_atom_site_fract_z
K1 K 0.000 0.000 0.000
Y1 Y 0.493 0.500 0.385
Mo1 Mo 0.496 0.500 0.704
Mo2 Mo 0.995 0.000 0.582
```

***

no.,D(E_F) (states/eV per cell)
1,3.09
2,13.50
3,3.55
4,4.22